Record 1
## Tb6Cu5Pd (PBE-GGA)

Data for Tb6Cu5Pd after structural relaxation.

Summary:
energy of formation from the pure elements	-346	meV per atom
uncorrected energy	-4.80	eV/atom

```
data_Tb6Cu5Pd
_cell_length_a 4.940
_cell_length_b 14.845
_cell_length_c 6.982
_cell_angle_alpha 90.00
_cell_angle_beta 90.00
_cell_angle_gamma 90.00
_symmetry_space_group_name_H-M 'C m m m'
_symmetry_Int_Tables_number 65
_symmetry_space_group_name_Hall '-C 2 2'
loop_
_atom_site_label
_atom_site_fract_x
_atom_site_fract_y
_atom_site_fract_z
Tb1 0.000 0.000 0.249
Tb2 0.000 0.333 0.249
Cu1 0.000 0.165 0.000
Cu2 0.000 0.170 0.500
Cu3 0.000 0.500 0.000
Pd1 0.000 0.500 0.500
```

***

Record 2
## NaLiTl2In (PBE-GGA)

Data for NaLiTl2In after structural relaxation.

Summary:
energy of formation from the pure elements	23	meV per atom
uncorrected energy	-2.12	eV/atom

```
data_NaLiTl2In
_cell_length_a 5.243
_cell_length_b 5.243
_cell_length_c 5.133
_cell_angle_alpha 90.00
_cell_angle_beta 90.00
_cell_angle_gamma 90.00
_symmetry_space_group_name_H-M 'P 4/m m m'
_symmetry_Int_Tables_number 123
_symmetry_space_group_name_Hall '-P 4 2'
loop_
_atom_site_label
_atom_site_fract_x
_atom_site_fract_y
_atom_site_fract_z
Na1 0.000 0.000 0.000
Li1 0.500 0.500 0.500
Tl1 0.000 0.500 0.500
In1 0.500 0.500 0.000
```

***

Record 3
## Y2HfGePd (PBE-GGA)

Data for Y2HfGePd after structural relaxation.

Summary:
energy of formation from the pure elements	695	meV per atom
E above lowest polymorph	544	meV per atom
uncorrected energy	-5.84	eV/atom

```
data_Y2HfGePd
_cell_length_a 5.468
_cell_length_b 5.468
_cell_length_c 5.003
_cell_angle_alpha 90.00
_cell_angle_beta 90.00
_cell_angle_gamma 90.00
_symmetry_space_group_name_H-M 'P 4/m m m'
_symmetry_Int_Tables_number 123
_symmetry_space_group_name_Hall '-P 4 2'
loop_
_atom_site_label
_atom_site_fract_x
_atom_site_fract_y
_atom_site_fract_z
Y1 0.000 0.500 0.000
Hf1 0.000 0.000 0.000
Ge1 0.000 0.000 0.500
Pd1 0.500 0.500 0.500
```

***

Record 4
## RbTlSb2 (PBE-GGA)

Data for RbTlSb2 after structural relaxation.

Summary:
E above lowest polymorph	197	meV per atom
energy relative to the elements, uncorrected	0	kJ/mol of formula units
uncorrected energy	-2.90	eV/atom

```
data_RbTlSb2
_cell_length_a 9.095
_cell_length_b 9.095
_cell_length_c 6.929
_cell_angle_alpha 90.00
_cell_angle_beta 90.00
_cell_angle_gamma 90.00
_symmetry_space_group_name_H-M 'I -4 2 d'
_symmetry_Int_Tables_number 122
_symmetry_space_group_name_Hall 'I -4 2bw'
loop_
_atom_site_label
_atom_site_fract_x
_atom_site_fract_y
_atom_site_fract_z
Rb1 0.000 0.000 0.000
Tl1 0.000 0.000 0.500
Sb1 0.197 0.250 0.625
```

***

Record 5
## ScWCl2 (PBE-GGA)

Data for ScWCl2 after structural relaxation.

Summary:
E above lowest polymorph	36	meV per atom
energy relative to the elements, uncorrected	-167	kJ/mol of formula units
uncorrected energy	-6.18	eV/atom

```
data_ScWCl2
_cell_length_a 3.793
_cell_length_b 3.110
_cell_length_c 7.714
_cell_angle_alpha 90.00
_cell_angle_beta 104.16
_cell_angle_gamma 90.00
_symmetry_space_group_name_H-M 'P 1 m 1'
_symmetry_Int_Tables_number 6
_symmetry_space_group_name_Hall 'P -2y'
loop_
_atom_site_label
_atom_site_fract_x
_atom_site_fract_y
_atom_site_fract_z
Sc1 0.000 0.000 0.000
W1 0.401 0.500 0.801
Cl1 0.276 0.000 0.549
Cl2 0.574 0.500 0.148
```

***

Record 6
## AlV6Si (PBE-GGA)

Data for AlV6Si after structural relaxation.

Summary:
energy relative to the elements, uncorrected	-207	kJ/mol of formula units
uncorrected energy	-8.25	eV/atom

```
data_AlV6Si
_cell_length_a 4.282
_cell_length_b 5.722
_cell_length_c 8.810
_cell_angle_alpha 90.00
_cell_angle_beta 90.00
_cell_angle_gamma 90.00
_symmetry_space_group_name_H-M 'A m m 2'
_symmetry_Int_Tables_number 38
_symmetry_space_group_name_Hall 'A 2 -2'
loop_
_atom_site_label
_atom_site_fract_x
_atom_site_fract_y
_atom_site_fract_z
Al1 0.000 0.000 0.000
V1 0.000 0.000 0.477
V2 0.000 0.243 0.738
V3 0.500 0.000 0.212
V4 0.500 0.249 0.950
Si1 0.500 0.000 0.690
```

***

Record 7
## LuScAg2 (PBE-GGA)

Data for LuScAg2 after structural relaxation.

Summary:
energy of formation from the pure elements	-297	meV per atom
E above lowest polymorph	8	meV per atom
uncorrected energy	-4.44	eV/atom

```
data_LuScAg2
_cell_length_a 7.006
_cell_length_b 7.006
_cell_length_c 7.006
_cell_angle_alpha 90.00
_cell_angle_beta 90.00
_cell_angle_gamma 90.00
_symmetry_space_group_name_H-M 'F m -3 m'
_symmetry_Int_Tables_number 225
_symmetry_space_group_name_Hall '-F 4 2 3'
loop_
_atom_site_label
_atom_site_fract_x
_atom_site_fract_y
_atom_site_fract_z
Lu1 0.000 0.000 0.000
Sc1 0.000 0.000 0.500
Ag1 0.250 0.250 0.250
```

***

Record 8
## Ac3La3Cd (PBE-GGA)

Data for Ac3La3Cd after structural relaxation.

Summary:
energy of formation from the pure elements	101	meV per atom
uncorrected energy	-3.90	eV/atom

```
data_Ac3La3Cd
_cell_length_a 11.0385
_cell_length_b 11.0385
_cell_length_c 6.0148
_cell_angle_alpha 90.00
_cell_angle_beta 90.00
_cell_angle_gamma 120.00
_symmetry_space_group_name_H-M 'P 63/m'
_symmetry_Int_Tables_number 176
_symmetry_space_group_name_Hall '-P 6c'
loop_
_atom_site_label
_atom_site_fract_x
_atom_site_fract_y
_atom_site_fract_z
Ac1 0.2195 0.4439 0.2500
La1 0.1089 0.2196 0.7500
Cd1 0.3333 0.6667 0.7500
```